Entry 1:
First-principles (PBEsol) data for a relaxed Tl3AgSn crystal, as listed in the Alexandria database.

POSCAR file:
```
Tl3AgSn
1.0
5.335 0.000 0.000
0.000 5.335 0.000
0.000 0.000 5.335
Tl Ag Sn
3 1 1
Direct
0.000 0.000 0.500
0.000 0.500 0.000
0.500 0.000 0.000
0.000 0.000 0.000
0.500 0.500 0.500
```

Summary:
Density of states at the Fermi level (states/eV/atom): 0.5949
DFT formation energy (meV/atom): 347

=====

Entry 2:
First-principles (PBEsol) data for a relaxed Ga3Fe crystal, as listed in the Alexandria database.

POSCAR file:
```
Ga3Fe
1.0
6.173 0.000 0.000
0.000 6.173 0.000
0.000 0.000 6.432
Ga Fe
12 4
Direct
0.000 0.500 0.000
0.000 0.500 0.500
0.156 0.156 0.237
0.156 0.156 0.763
0.344 0.656 0.263
0.344 0.656 0.737
0.500 0.000 0.000
0.500 0.000 0.500
0.656 0.344 0.263
0.656 0.344 0.737
0.844 0.844 0.237
0.844 0.844 0.763
0.156 0.844 0.000
0.344 0.344 0.500
0.656 0.656 0.500
0.844 0.156 0.000
```

Summary:
DFT formation energy (meV/atom): -284

=====

Entry 3:
First-principles (PBEsol) data for a relaxed Ta2NiPb crystal, as listed in the Alexandria database.

POSCAR file:
```
Ta2NiPb
1.0
-1.995 1.995 4.311
1.995 -1.995 4.311
1.995 1.995 -4.311
Ta Ni Pb
2 1 1
Direct
0.000 0.000 0.000
0.750 0.250 0.500
0.500 0.500 0.000
0.250 0.750 0.500
```

Summary:
Density of states at the Fermi level (states/eV/atom): 0.8305
DFT formation energy (meV/atom): 362

=====

Entry 4:
First-principles (PBEsol) data for a relaxed LiLaAl2 crystal, as listed in the Alexandria database.

POSCAR file:
```
LiLaAl2
1.0
3.343 0.000 0.000
0.000 3.343 0.000
0.000 0.000 7.384
Li La Al
1 1 2
Direct
0.000 0.000 0.000
0.000 0.000 0.500
0.500 0.500 0.192
0.500 0.500 0.808
```

Summary:
Density of states at the Fermi level (states/eV/atom): 0.4527
DFT formation energy (meV/atom): -220

=====

Entry 5:
First-principles (PBEsol) data for a relaxed LaSb3H crystal, as listed in the Alexandria database.

POSCAR file:
```
LaSb3H
1.0
6.015 0.000 0.000
0.000 6.015 0.000
0.000 0.000 6.015
La Sb H
1 3 1
Direct
0.000 0.000 0.000
0.000 0.000 0.500
0.000 0.500 0.000
0.500 0.000 0.000
0.500 0.500 0.500
```

Summary:
Density of states at the Fermi level (states/eV/atom): 0.9259
Total energy (Ry per atom): -0.25321

=====

Entry 6:
First-principles (PBEsol) data for a relaxed ZrFeCo crystal, as listed in the Alexandria database.

POSCAR file:
```
ZrFeCo
1.0
-2.385 2.465 3.423
2.385 -2.465 3.423
2.385 2.465 -3.423
Zr Fe Co
2 2 2
Direct
0.373 0.123 0.250
0.627 0.877 0.750
0.000 0.000 0.500
0.000 0.500 0.000
0.000 0.500 0.500
0.500 0.500 0.000
```

Summary:
Density of states at the Fermi level (states/eV/atom): 1.3058
DFT formation energy (meV/atom): -314

=====

Entry 7:
First-principles (PBEsol) data for a relaxed CuAg5As3O11 crystal, as listed in the Alexandria database.

POSCAR file:
```
CuAg5As3O11
1.0
5.892 0.000 0.000
-0.446 8.884 0.000
-0.350 -1.308 10.189
Cu Ag As O
2 10 6 22
Direct
0.000 0.000 0.000
0.500 0.000 0.500
0.074 0.032 0.670
0.191 0.330 0.804
0.239 0.645 0.363
0.260 0.669 0.654
0.310 0.320 0.159
0.690 0.680 0.841
0.740 0.331 0.346
0.761 0.355 0.637
0.809 0.670 0.196
0.926 0.968 0.330
0.223 0.674 0.017
0.236 0.294 0.483
0.445 0.965 0.194
0.555 0.035 0.806
0.764 0.706 0.517
0.777 0.326 0.983
0.011 0.172 0.513
0.011 0.214 0.974
0.136 0.397 0.364
0.182 0.553 0.130
0.215 0.061 0.149
0.298 0.942 0.815
0.308 0.595 0.870
0.343 0.405 0.622
0.396 0.885 0.336
0.454 0.185 0.419
0.464 0.802 0.074
0.536 0.198 0.926
0.546 0.815 0.581
0.604 0.115 0.664
0.657 0.595 0.378
0.692 0.405 0.130
0.702 0.058 0.185
0.785 0.939 0.851
0.818 0.447 0.870
0.864 0.603 0.636
0.989 0.786 0.026
0.989 0.828 0.487
```

Summary:
Formation energy from raw total energies (meV/atom): -692
Density of states at the Fermi level (states/eV/atom): 0.1129

=====

Entry 8:
First-principles (PBEsol) data for a relaxed ScSe2Cl crystal, as listed in the Alexandria database.

POSCAR file:
```
ScSe2Cl
1.0
1.628 0.940 9.578
-1.628 0.940 9.578
0.000 -1.879 9.578
Sc Se Cl
1 2 1
Direct
0.000 0.000 0.000
0.089 0.089 0.089
0.911 0.911 0.911
0.500 0.500 0.500
```

Summary:
Formation energy from raw total energies (meV/atom): 197
Density of states at the Fermi level (states/eV/atom): 1.0371
Relative energy among the computed polymorphs (meV per atom): 1032

=====

Entry 9:
First-principles (PBEsol) data for a relaxed FeCuOs2 crystal, as listed in the Alexandria database.

POSCAR file:
```
FeCuOs2
1.0
-1.837 1.837 3.742
1.837 -1.837 3.742
1.837 1.837 -3.742
Fe Cu Os
1 1 2
Direct
0.000 0.000 0.000
0.250 0.750 0.500
0.500 0.500 0.000
0.750 0.250 0.500
```

Summary:
Density of states at the Fermi level (states/eV/atom): 1.1792
Relative energy among the computed polymorphs (meV per atom): 60
DFT formation energy (meV/atom): 292

=====

Entry 10:
First-principles (PBEsol) data for a relaxed Ca2NiCl crystal, as listed in the Alexandria database.

POSCAR file:
```
Ca2NiCl
1.0
2.389 -2.397 0.000
2.389 2.397 0.000
0.000 0.000 7.420
Ca Ni Cl
2 1 1
Direct
0.000 0.000 0.221
0.000 0.000 0.779
0.500 0.500 0.000
0.500 0.500 0.500
```

Summary:
Formation energy from raw total energies (meV/atom): -780
Density of states at the Fermi level (states/eV/atom): 0.4070

=====

Entry 11:
First-principles (PBEsol) data for a relaxed TlAgTe2 crystal, as listed in the Alexandria database.

POSCAR file:
```
TlAgTe2
1.0
0.000 3.715 3.715
3.715 0.000 3.715
3.715 3.715 0.000
Tl Ag Te
1 1 2
Direct
0.000 0.000 0.000
0.250 0.250 0.250
0.500 0.500 0.500
0.750 0.750 0.750
```

Summary:
Formation energy from raw total energies (meV/atom): 211
Density of states at the Fermi level (states/eV/atom): 0.6123

=====

Entry 12:
First-principles (PBEsol) data for a relaxed Cd2InGe2 crystal, as listed in the Alexandria database.

POSCAR file:
```
Cd2InGe2
1.0
-1.975 1.975 7.106
1.975 -1.975 7.106
1.975 1.975 -7.106
Cd In Ge
2 1 2
Direct
0.101 0.101 0.000
0.899 0.899 0.000
0.500 0.500 0.000
0.250 0.750 0.500
0.750 0.250 0.500
```

Summary:
Density of states at the Fermi level (states/eV/atom): 0.3765
Relative energy among the computed polymorphs (meV per atom): 32
DFT formation energy (meV/atom): 178

=====

Entry 13:
First-principles (PBEsol) data for a relaxed CuAu crystal, as listed in the Alexandria database.

POSCAR file:
```
CuAu
1.0
1.409 0.814 4.209
-1.409 0.814 4.209
0.000 -1.627 4.209
Cu Au
1 1
Direct
0.000 0.000 0.000
0.500 0.500 0.500
```

Summary:
Density of states at the Fermi level (states/eV/atom): 0.3763
DFT formation energy (meV/atom): 24

=====

Entry 14:
First-principles (PBEsol) data for a relaxed SrLiRe2 crystal, as listed in the Alexandria database.

POSCAR file:
```
SrLiRe2
1.0
1.745 -1.985 0.000
1.745 1.985 0.000
0.000 0.000 9.790
Sr Li Re
1 1 2
Direct
0.000 0.000 0.000
0.000 0.000 0.500
0.500 0.500 0.275
0.500 0.500 0.725
```

Summary:
Density of states at the Fermi level (states/eV/atom): 0.5503
Relative energy among the computed polymorphs (meV per atom): 145
DFT formation energy (meV/atom): 917

=====

Entry 15:
First-principles (PBEsol) data for a relaxed Ba3CrPb crystal, as listed in the Alexandria database.

POSCAR file:
```
Ba3CrPb
1.0
5.912 0.000 0.000
0.000 5.912 0.000
0.000 0.000 5.912
Ba Cr Pb
3 1 1
Direct
0.000 0.000 0.500
0.000 0.500 0.000
0.500 0.000 0.000
0.000 0.000 0.000
0.500 0.500 0.500
```

Summary:
Density of states at the Fermi level (states/eV/atom): 1.0867
DFT formation energy (meV/atom): 457

=====

Entry 16:
First-principles (PBEsol) data for a relaxed BaSrBiSbO6 crystal, as listed in the Alexandria database.

POSCAR file:
```
BaSrBiSbO6
1.0
3.024 1.746 4.811
-3.024 1.746 4.811
0.000 -3.492 4.811
Ba Sr Bi Sb O
1 1 1 1 6
Direct
0.000 0.000 0.000
0.514 0.514 0.514
0.251 0.251 0.251
0.751 0.751 0.751
0.063 0.527 0.898
0.457 0.967 0.579
0.527 0.898 0.063
0.579 0.457 0.967
0.898 0.063 0.527
0.967 0.579 0.457
```

Summary:
Formation energy from raw total energies (meV/atom): -2078
Density of states at the Fermi level (states/eV/atom): 0.0000

=====

Entry 17:
First-principles (PBEsol) data for a relaxed ZrSbW crystal, as listed in the Alexandria database.

POSCAR file:
```
ZrSbW
1.0
0.000 3.203 3.203
3.203 0.000 3.203
3.203 3.203 0.000
Zr Sb W
1 1 1
Direct
0.000 0.000 0.000
0.250 0.250 0.250
0.500 0.500 0.500
```

Summary:
Formation energy from raw total energies (meV/atom): 617
Density of states at the Fermi level (states/eV/atom): 0.9082
Relative energy among the computed polymorphs (meV per atom): 432

=====

Entry 18:
First-principles (PBEsol) data for a relaxed Cd2CoTe crystal, as listed in the Alexandria database.

POSCAR file:
```
Cd2CoTe
1.0
-2.135 2.135 4.184
2.135 -2.135 4.184
2.135 2.135 -4.184
Cd Co Te
2 1 1
Direct
0.000 0.000 0.000
0.750 0.250 0.500
0.500 0.500 0.000
0.250 0.750 0.500
```

Summary:
Formation energy from raw total energies (meV/atom): 403
Density of states at the Fermi level (states/eV/atom): 0.7936

=====

Entry 19:
First-principles (PBEsol) data for a relaxed RbGd2CuS4 crystal, as listed in the Alexandria database.

POSCAR file:
```
RbGd2CuS4
1.0
1.976 -6.846 0.000
1.976 6.846 0.000
0.000 0.000 13.595
Rb Gd Cu S
2 4 2 8
Direct
0.106 0.894 0.750
0.894 0.106 0.250
0.366 0.634 0.561
0.366 0.634 0.939
0.634 0.366 0.061
0.634 0.366 0.439
0.165 0.835 0.250
0.835 0.165 0.750
0.000 0.000 0.000
0.000 0.000 0.500
0.260 0.740 0.111
0.260 0.740 0.389
0.425 0.575 0.750
0.575 0.425 0.250
0.740 0.260 0.611
0.740 0.260 0.889
```

Summary:
Formation energy from raw total energies (meV/atom): -1697

=====

Entry 20:
First-principles (PBEsol) data for a relaxed ZnAs2SeBr crystal, as listed in the Alexandria database.

POSCAR file:
```
ZnAs2SeBr
1.0
5.016 0.000 0.000
0.000 5.016 0.000
0.000 0.000 5.146
Zn As Se Br
1 2 1 1
Direct
0.000 0.000 0.000
0.000 0.500 0.500
0.500 0.000 0.500
0.500 0.500 0.500
0.500 0.500 0.000
```

Summary:
Formation energy from raw total energies (meV/atom): 797
Density of states at the Fermi level (states/eV/atom): 1.0242

=====

Entry 21:
First-principles (PBEsol) data for a relaxed K2LiTlF6 crystal, as listed in the Alexandria database.

POSCAR file:
```
K2LiTlF6
1.0
0.000 4.179 4.179
4.179 0.000 4.179
4.179 4.179 0.000
K Li Tl F
2 1 1 6
Direct
0.250 0.250 0.250
0.750 0.750 0.750
0.000 0.000 0.000
0.500 0.500 0.500
0.242 0.242 0.758
0.242 0.758 0.242
0.242 0.758 0.758
0.758 0.242 0.242
0.758 0.242 0.758
0.758 0.758 0.242
```

Summary:
Formation energy from raw total energies (meV/atom): -2484
Density of states at the Fermi level (states/eV/atom): 0.0000

=====

Entry 22:
First-principles (PBEsol) data for a relaxed ZnTe2P crystal, as listed in the Alexandria database.

POSCAR file:
```
ZnTe2P
1.0
-1.883 1.883 7.885
1.883 -1.883 7.885
1.883 1.883 -7.885
Zn Te P
1 2 1
Direct
0.000 0.000 0.000
0.250 0.750 0.500
0.500 0.500 0.000
0.750 0.250 0.500
```

Summary:
Formation energy from raw total energies (meV/atom): 337
Density of states at the Fermi level (states/eV/atom): 0.9472
Relative energy among the computed polymorphs (meV per atom): 132

=====

Entry 23:
First-principles (PBEsol) data for a relaxed Li4Mg3 crystal, as listed in the Alexandria database.

POSCAR file:
```
Li4Mg3
1.0
-1.668 1.668 12.478
1.668 -1.668 12.478
1.668 1.668 -12.478
Li Mg
4 3
Direct
0.073 0.073 0.000
0.363 0.363 0.000
0.637 0.637 0.000
0.927 0.927 0.000
0.209 0.209 0.000
0.500 0.500 0.000
0.791 0.791 0.000
```

Summary:
Density of states at the Fermi level (states/eV/atom): 0.4639
Relative energy among the computed polymorphs (meV per atom): 0
DFT formation energy (meV/atom): -46

=====

Entry 24:
First-principles (PBEsol) data for a relaxed LiLaZn4 crystal, as listed in the Alexandria database.

POSCAR file:
```
LiLaZn4
1.0
0.000 3.788 3.788
3.788 0.000 3.788
3.788 3.788 0.000
Li La Zn
1 1 4
Direct
0.000 0.000 0.000
0.250 0.250 0.250
0.123 0.626 0.626
0.626 0.123 0.626
0.626 0.626 0.123
0.626 0.626 0.626
```

Summary:
Density of states at the Fermi level (states/eV/atom): 0.6080
DFT formation energy (meV/atom): -230

=====

Entry 25:
First-principles (PBEsol) data for a relaxed Tl2TcAu crystal, as listed in the Alexandria database.

POSCAR file:
```
Tl2TcAu
1.0
4.582 0.000 0.000
0.000 4.582 0.000
0.000 0.000 3.579
Tl Tc Au
2 1 1
Direct
0.000 0.500 0.000
0.500 0.000 0.000
0.000 0.000 0.500
0.500 0.500 0.500
```

Summary:
Density of states at the Fermi level (states/eV/atom): 0.6099
Relative energy among the computed polymorphs (meV per atom): 0
DFT formation energy (meV/atom): 529